Here is a relaxed AcCd2WO6 crystal from Alexandria via LeMat-Bulk. Energies are from PBE+U.

Magnetic moment ... 1.00 μB per cell
Electronic total energy ... -6.26 eV/atom

a b c (Å): 5.7845 5.8268 6.0905
angles (deg): 61.68 62.97 60.89
Fractional positions:
O (0.5448, 0.2349, 0.2486)
Cd (0.5388, 0.5436, 0.3918)
O (0.1417, 0.3899, 0.7918)
O (0.6777, 0.1333, 0.7890)
O (0.2183, 0.9647, 0.2492)
Ac (0.8150, 0.8067, 0.5779)
O (0.4005, 0.6779, 0.7777)
W (0.3215, 0.3220, 0.0421)
Cd (0.0379, 0.0171, 0.9127)
O (0.9654, 0.5714, 0.2344)